Below is a geometry-optimized Cs2NaInI5 structure, with properties calculated at the PBE-GGA level.

Geometry as extended XYZ:
```
18
Lattice="2.7285 -10.9136 0.0000 2.7285 10.9136 0.0000 0.0000 0.0000 15.0872" Properties=species:S:1:pos:R:3 pbc="T T T"
Cs 2.7285 8.1185 7.5436
Cs 2.7285 8.0899 2.0587
Cs 2.7285 -8.0899 9.6023
Cs 2.7285 -8.1185 0.0000
Na 2.7285 6.2256 12.8410
Na 2.7285 -6.2256 5.2974
In 2.7285 1.4535 3.9898
In 2.7285 -1.4535 11.5334
I 2.7285 9.7974 12.5815
I 2.7285 4.2383 7.0435
I 2.7285 4.1281 2.7769
I 2.7285 3.1807 12.3848
I 2.7285 0.0672 1.4065
I 2.7285 -0.0672 8.9501
I 2.7285 -3.1807 4.8412
I 2.7285 -4.1281 10.3205
I 2.7285 -4.2383 14.5871
I 2.7285 -9.7974 5.0380
```

Results
The density of states at the Fermi level comes out at 0.15 states/eV per atom. The value obtained for the total energy is -0.1917 Ry per atom. The uncorrected formation energy is -1.107 eV per atom. The space-group type is Cmc2_1. For the total moment, the calculation gives 0.0000 μB/atom.